# 1
Compound: Sc2AlRe2
Source: Alexandria
Functional: PBE
Structure: relaxed

Cell and atoms, written as POSCAR:
```
Sc2AlRe2
1.0
-6.5144 0.5784 -0.7295
-0.8305 -5.9406 2.7063
-0.2770 1.8244 3.9197
Sc Re Al
4 4 2
Cartesian
-1.8232 -2.9849 3.6546 Sc
-5.7987 -0.5529 2.2418 Sc
-5.2086 -3.6125 3.7075 Sc
-2.4133 0.0747 2.1889 Sc
-1.1514 -2.1260 0.9082 Re
-6.1936 -3.2362 1.0686 Re
-4.2085 -0.4053 -0.1087 Re
-3.1365 -4.9569 2.0855 Re
0.0000 0.0000 0.0000 Al
-3.6725 -2.6811 0.9884 Al
```

Output
Total moment = 0.00 μB per atom
Crystal system = tetragonal
E_form = -48 kJ/mol of formula units
E = -83.6 eV per cell

# 2
Compound: Sc2AlRe
Source: Alexandria
Functional: PBE
Structure: relaxed

Cell and atoms, written as POSCAR:
```
Sc2AlRe
1.0
-2.8210 0.2261 0.3236
-0.3558 -4.2878 -0.1068
0.6557 -0.2002 5.8566
Re Sc Al
1 2 1
Cartesian
-1.1044 -2.1787 4.4319 Re
0.6434 -0.1965 5.7465 Sc
-1.4148 -2.0839 1.6589 Sc
0.3382 -0.1033 3.0210 Al
```

Output
Total moment = 0.00 μB per atom
Crystal system = orthorhombic
E_form = -9 kJ/mol of formula units
E = -29.0 eV per cell